Below is a relaxed K3CoF7 crystal, with properties calculated at the GGA+U level.

Total moment, Bohr magnetons per cell: 5.00
N(E_F), states/eV/atom: 0.03
Calculated volume, Å³ per atom: 16.9
Raw total energy, hartree per atom: -0.1542

Geometry as CIF:
```
data_K3CoF7
_space_group_name_H-M_alt 'P 1'
_space_group_IT_number 1
_space_group_name_Hall 'P 1'
_cell_length_a 6.040
_cell_length_b 6.040
_cell_length_c 6.376
_cell_angle_alpha 64.69
_cell_angle_beta 64.69
_cell_angle_gamma 89.76
loop_
_atom_site_label
_atom_site_fract_x
_atom_site_fract_y
_atom_site_fract_z
K1 0.235 0.759 0.487
K2 0.492 0.492 0.947
K3 0.759 0.235 0.487
Co1 0.958 0.958 0.035
F1 0.113 0.113 0.152
F2 0.107 0.665 0.163
F3 0.287 0.008 0.735
F4 0.665 0.107 0.163
F5 0.697 0.697 0.427
F6 0.008 0.287 0.735
F7 0.804 0.804 0.920
```